No. 1
The following is a PBE calculation of a relaxed structure of Tm3Sc2S6, from Alexandria.

Unit cell a=6.586 b=11.364 c=6.454 alpha=90.00 beta=109.82 gamma=90.00
Space group C2/m (No. 12)
One atom of each set of equivalent atoms:
Tm 0.000 0.000 0.000 (multiplicity 2)
Tm 0.000 0.337 0.000 (multiplicity 4)
Sc 0.000 0.165 0.500 (multiplicity 4)
S 0.245 0.000 0.737 (multiplicity 4)
S 0.248 0.332 0.742 (multiplicity 8)

Properties
Its spin magnetization is 0.000 μB per atom. The uncorrected formation energy comes out at -2003 meV per atom.


No. 2
The following is a PBE calculation of a relaxed structure of InAsPd6, from Alexandria.

Unit cell a=5.985 b=7.685 c=6.566 alpha=90.00 beta=104.07 gamma=90.00
Space group C2/m (No. 12)
One atom of each set of equivalent atoms:
In 0.000 0.000 0.000 (multiplicity 2)
As 0.000 0.500 0.500 (multiplicity 2)
Pd 0.096 0.316 0.819 (multiplicity 8)
Pd 0.179 0.000 0.655 (multiplicity 4)

Properties
As for the energy above the most stable polymorph in this dataset: 0.211 eV/atom. Its spin magnetization is 0.000 μB per atom. The formation energy is -2.93 kcal/mol of atoms.


No. 3
The following is a PBE calculation of a relaxed structure of Cr2CuIr, from Alexandria.

Unit cell a=2.6267 b=2.6267 c=25.8193 alpha=90.00 beta=90.00 gamma=120.00
Space group R3m (No. 160, hexagonal axes)
One atom of each set of equivalent atoms:
Cr 0.0000 0.0000 0.0000 (multiplicity 3)
Cr 0.0000 0.0000 0.2501 (multiplicity 3)
Cu 0.0000 0.0000 0.7488 (multiplicity 3)
Ir 0.0000 0.0000 0.5041 (multiplicity 3)

Properties
Its spin magnetization is 0.000 μB per atom. The formation energy is 4.43 kcal/mol of atoms.


No. 4
The following is a PBE calculation of a relaxed structure of LaMn3Ge, from Alexandria.

Unit cell a=4.762 b=4.762 c=4.762 alpha=90.00 beta=90.00 gamma=90.00
Space group Pm-3m (No. 221)
One atom of each set of equivalent atoms:
La 0.000 0.000 0.000 (multiplicity 1)
Mn 0.000 0.000 0.500 (multiplicity 3)
Ge 0.500 0.500 0.500 (multiplicity 1)

Properties
As for the energy above the most stable polymorph in this dataset: 1.259 eV/atom. Its spin magnetization is 1.796 μB per atom. The formation energy is 37.37 kcal/mol of atoms.


No. 5
The following is a PBE calculation of a relaxed structure of Ca4Au2O, from Alexandria.

Unit cell a=4.639 b=4.639 c=15.758 alpha=90.00 beta=90.00 gamma=90.00
Space group I4/mmm (No. 139)
One atom of each set of equivalent atoms:
Ca 0.000 0.000 0.173 (multiplicity 4)
Ca 0.000 0.500 0.000 (multiplicity 4)
Au 0.000 0.000 0.364 (multiplicity 4)
O 0.000 0.000 0.000 (multiplicity 2)

Properties
Its spin magnetization is 0.000 μB per atom. The uncorrected formation energy comes out at -1282 meV per atom.


No. 6
The following is a PBE calculation of a relaxed structure of Pr2Er3Tm, from Alexandria.

Unit cell a=16.770 b=5.521 c=8.502 alpha=90.00 beta=92.79 gamma=90.00
Space group C2/m (No. 12)
One atom of each set of equivalent atoms:
Pr 0.096 0.000 0.094 (multiplicity 4)
Pr 0.108 0.500 0.834 (multiplicity 4)
Er 0.085 0.500 0.397 (multiplicity 4)
Er 0.222 0.000 0.415 (multiplicity 4)
Er 0.250 0.000 0.840 (multiplicity 4)
Tm 0.059 0.000 0.652 (multiplicity 4)

Properties
As for the energy above the most stable polymorph in this dataset: 0.000 eV/atom. Its spin magnetization is 0.000 μB per atom. The formation energy is 1.94 kcal/mol of atoms.


No. 7
The following is a PBE calculation of a relaxed structure of CuBSe2, from Alexandria.

Unit cell a=3.516 b=3.516 c=4.928 alpha=90.00 beta=90.00 gamma=90.00
Space group P4/mmm (No. 123)
One atom of each set of equivalent atoms:
Cu 0.000 0.000 0.000 (multiplicity 1)
B 0.500 0.500 0.500 (multiplicity 1)
Se 0.000 0.000 0.500 (multiplicity 1)
Se 0.500 0.500 0.000 (multiplicity 1)

Properties
Its spin magnetization is 0.000 μB per atom. The uncorrected formation energy comes out at 511 meV per atom.


No. 8
The following is a PBE calculation of a relaxed structure of NaLa2CdRu, from Alexandria.

Unit cell a=5.398 b=5.398 c=5.527 alpha=90.00 beta=90.00 gamma=90.00
Space group P4/mmm (No. 123)
One atom of each set of equivalent atoms:
Na 0.000 0.000 0.000 (multiplicity 1)
La 0.000 0.500 0.500 (multiplicity 2)
Cd 0.500 0.500 0.000 (multiplicity 1)
Ru 0.500 0.500 0.500 (multiplicity 1)

Properties
As for the energy above the most stable polymorph in this dataset: 0.000 eV/atom. Its spin magnetization is 0.000 μB per atom. The formation energy is -3.25 kcal/mol of atoms.


No. 9
The following is a PBE calculation of a relaxed structure of SiAg2Pt, from Alexandria.

Unit cell a=3.0461 b=3.0461 c=25.1973 alpha=90.00 beta=90.00 gamma=120.00
Space group R3m (No. 160, hexagonal axes)
One atom of each set of equivalent atoms:
Si 0.0000 0.0000 0.0000 (multiplicity 3)
Ag 0.0000 0.0000 0.5090 (multiplicity 3)
Ag 0.0000 0.0000 0.7495 (multiplicity 3)
Pt 0.0000 0.0000 0.2676 (multiplicity 3)

Properties
Its spin magnetization is 0.000 μB per atom. The uncorrected formation energy comes out at -72 meV per atom.


No. 10
The following is a PBE calculation of a relaxed structure of UAgS4, from Alexandria.

Unit cell a=5.886 b=4.042 c=6.652 alpha=90.00 beta=102.51 gamma=90.00
Space group P2/m (No. 10)
One atom of each set of equivalent atoms:
U 0.000 0.000 0.000 (multiplicity 1)
Ag 0.500 0.500 0.000 (multiplicity 1)
S 0.204 0.500 0.222 (multiplicity 2)
S 0.267 0.000 0.764 (multiplicity 2)

Properties
Its spin magnetization is 0.000 μB per atom. The uncorrected formation energy comes out at -656 meV per atom.


No. 11
The following is a PBE calculation of a relaxed structure of NaCaNb, from Alexandria.

Unit cell a=3.892 b=3.892 c=11.747 alpha=90.00 beta=90.00 gamma=90.00
Space group P4/nmm (No. 129, origin choice 2)
One atom of each set of equivalent atoms:
Na 0.250 0.250 0.230 (multiplicity 2)
Ca 0.250 0.750 0.500 (multiplicity 2)
Nb 0.250 0.250 0.962 (multiplicity 2)

Properties
As for the energy above the most stable polymorph in this dataset: 0.900 eV/atom. Its spin magnetization is 0.000 μB per atom. The formation energy is 25.09 kcal/mol of atoms.


No. 12
The following is a PBE calculation of a relaxed structure of MoPt2Se, from Alexandria.

Unit cell a=5.417 b=8.561 c=2.787 alpha=90.00 beta=90.00 gamma=90.00
Space group Cmmm (No. 65)
One atom of each set of equivalent atoms:
Mo 0.000 0.000 0.000 (multiplicity 2)
Pt 0.250 0.250 0.500 (multiplicity 4)
Se 0.000 0.500 0.000 (multiplicity 2)

Properties
Its spin magnetization is 0.000 μB per atom. The uncorrected formation energy comes out at 171 meV per atom.


No. 13
The following is a PBE calculation of a relaxed structure of Tb4Sm2Dy5, from Alexandria.

Unit cell a=23.811 b=3.469 c=8.720 alpha=90.00 beta=96.90 gamma=90.00
Space group C2/m (No. 12)
One atom of each set of equivalent atoms:
Tb 0.046 0.000 0.360 (multiplicity 4)
Tb 0.177 0.500 0.472 (multiplicity 4)
Sm 0.092 0.000 0.740 (multiplicity 4)
Dy 0.000 0.500 0.000 (multiplicity 2)
Dy 0.141 0.000 0.120 (multiplicity 4)
Dy 0.233 0.000 0.826 (multiplicity 4)

Properties
As for the energy above the most stable polymorph in this dataset: 0.000 eV/atom. Its spin magnetization is 0.000 μB per atom. The formation energy is 3.45 kcal/mol of atoms.


No. 14
The following is a PBE calculation of a relaxed structure of CoAg2Br, from Alexandria.

Unit cell a=3.120 b=3.120 c=7.798 alpha=90.00 beta=90.00 gamma=90.00
Space group P4mm (No. 99)
One atom of each set of equivalent atoms:
Co 0.000 0.000 0.000 (multiplicity 1)
Ag 0.000 0.000 0.465 (multiplicity 1)
Ag 0.500 0.500 0.230 (multiplicity 1)
Br 0.500 0.500 0.828 (multiplicity 1)

Properties
As for the energy above the most stable polymorph in this dataset: 0.077 eV/atom. Its spin magnetization is 0.513 μB per atom. The uncorrected formation energy comes out at 352 meV per atom.


No. 15
The following is a PBE calculation of a relaxed structure of Rb2ScZn, from Alexandria.

Unit cell a=12.969 b=12.969 c=5.358 alpha=90.00 beta=90.00 gamma=90.00
Space group I-42d (No. 122)
One atom of each set of equivalent atoms:
Rb 0.101 0.250 0.125 (multiplicity 8)
Sc 0.000 0.000 0.500 (multiplicity 4)
Zn 0.000 0.000 0.000 (multiplicity 4)

Properties
Its spin magnetization is 0.000 μB per atom. The formation energy is 13.43 kcal/mol of atoms.


No. 16
The following is a PBE calculation of a relaxed structure of Cs2ScMnTe4, from Alexandria.

Unit cell a=6.689 b=15.477 c=27.465 alpha=90.00 beta=90.00 gamma=90.00
Space group Fddd (No. 70, origin choice 2)
One atom of each set of equivalent atoms:
Cs 0.125 0.125 0.304 (multiplicity 16)
Sc 0.125 0.125 0.125 (multiplicity 8)
Mn 0.125 0.125 0.625 (multiplicity 8)
Te 0.109 0.275 0.822 (multiplicity 32)

Properties
Its spin magnetization is 0.499 μB per atom. The uncorrected formation energy comes out at -847 meV per atom.


No. 17
The following is a PBE calculation of a relaxed structure of MgAuBr2, from Alexandria.

Unit cell a=3.6009 b=3.6009 c=33.9016 alpha=90.00 beta=90.00 gamma=120.00
Space group R-3m (No. 166, hexagonal axes)
One atom of each set of equivalent atoms:
Mg 0.0000 0.0000 0.0000 (multiplicity 3)
Au 0.0000 0.0000 0.5000 (multiplicity 3)
Br 0.0000 0.0000 0.2859 (multiplicity 6)

Properties
As for the energy above the most stable polymorph in this dataset: 0.000 eV/atom. Its spin magnetization is 0.000 μB per atom. The uncorrected formation energy comes out at -625 meV per atom.


No. 18
The following is a PBE calculation of a relaxed structure of KW, from Alexandria.

Unit cell a=7.021 b=7.021 c=7.014 alpha=90.00 beta=90.00 gamma=90.00
Space group P4_2/mnm (No. 136)
One atom of each set of equivalent atoms:
K 0.168 0.168 0.000 (multiplicity 4)
W 0.106 0.106 0.500 (multiplicity 4)

Properties
As for the energy above the most stable polymorph in this dataset: 1.259 eV/atom. Its spin magnetization is 0.000 μB per atom. The formation energy is 50.31 kcal/mol of atoms.


No. 19
The following is a PBE calculation of a relaxed structure of AcSmRh, from Alexandria.

Unit cell a=7.165 b=7.165 c=7.165 alpha=90.00 beta=90.00 gamma=90.00
Space group F-43m (No. 216)
One atom of each set of equivalent atoms:
Ac 0.000 0.000 0.000 (multiplicity 4)
Sm 0.000 0.000 0.500 (multiplicity 4)
Rh 0.250 0.250 0.250 (multiplicity 4)

Properties
As for the energy above the most stable polymorph in this dataset: 0.096 eV/atom. Its spin magnetization is 0.000 μB per atom. The formation energy is -9.72 kcal/mol of atoms.


No. 20
The following is a PBE calculation of a relaxed structure of BSbI2N, from Alexandria.

Unit cell a=7.833 b=7.833 c=2.755 alpha=90.00 beta=90.00 gamma=90.00
Space group P4/mmm (No. 123)
One atom of each set of equivalent atoms:
B 0.000 0.000 0.000 (multiplicity 1)
Sb 0.500 0.500 0.500 (multiplicity 1)
I 0.000 0.500 0.000 (multiplicity 2)
N 0.000 0.000 0.500 (multiplicity 1)

Properties
As for the energy above the most stable polymorph in this dataset: 0.000 eV/atom. Its spin magnetization is 0.000 μB per atom. The uncorrected formation energy comes out at 143 meV per atom.


No. 21
The following is a PBE calculation of a relaxed structure of Zr6Al7Cu16H3, from Alexandria.

Unit cell a=8.455 b=8.482 c=12.069 alpha=90.00 beta=90.00 gamma=90.00
Space group Imm2 (No. 44)
One atom of each set of equivalent atoms:
Zr 0.000 0.000 0.000 (multiplicity 2)
Zr 0.000 0.000 0.427 (multiplicity 2)
Zr 0.200 0.201 0.212 (multiplicity 8)
Al 0.000 0.000 0.713 (multiplicity 2)
Al 0.000 0.500 0.213 (multiplicity 2)
Al 0.000 0.500 0.714 (multiplicity 2)
Al 0.248 0.249 0.964 (multiplicity 8)
Cu 0.000 0.240 0.830 (multiplicity 4)
Cu 0.000 0.241 0.594 (multiplicity 4)
Cu 0.000 0.344 0.041 (multiplicity 4)
Cu 0.000 0.351 0.390 (multiplicity 4)
Cu 0.159 0.500 0.543 (multiplicity 4)
Cu 0.161 0.500 0.883 (multiplicity 4)
Cu 0.241 0.000 0.595 (multiplicity 4)
Cu 0.241 0.000 0.830 (multiplicity 4)
H 0.000 0.000 0.171 (multiplicity 2)
H 0.000 0.167 0.303 (multiplicity 4)

Properties
The calculation puts the total DFT energy (no corrections) at -329.42 eV per cell. Its spin magnetization is 0.000 μB per atom.


No. 22
The following is a PBE calculation of a relaxed structure of Be2IrCl, from Alexandria.

Unit cell a=2.9395 b=2.9395 c=20.1333 alpha=90.00 beta=90.00 gamma=120.00
Space group R-3m (No. 166, hexagonal axes)
One atom of each set of equivalent atoms:
Be 0.0000 0.0000 0.2470 (multiplicity 6)
Ir 0.0000 0.0000 0.5000 (multiplicity 3)
Cl 0.0000 0.0000 0.0000 (multiplicity 3)

Properties
As for the energy above the most stable polymorph in this dataset: 0.285 eV/atom. Its spin magnetization is 0.000 μB per atom. The uncorrected formation energy comes out at -116 meV per atom.


No. 23
The following is a PBE calculation of a relaxed structure of Ce2Sn2Au7, from Alexandria.

Unit cell a=9.818 b=10.076 c=5.212 alpha=90.00 beta=102.00 gamma=90.00
Space group C2/m (No. 12)
One atom of each set of equivalent atoms:
Ce 0.237 0.000 0.182 (multiplicity 4)
Sn 0.000 0.255 0.000 (multiplicity 4)
Au 0.000 0.000 0.500 (multiplicity 2)
Au 0.062 0.500 0.282 (multiplicity 4)
Au 0.205 0.187 0.707 (multiplicity 8)

Properties
Its spin magnetization is 0.157 μB per atom. The formation energy is -9.51 kcal/mol of atoms.


No. 24
The following is a PBE calculation of a relaxed structure of SmYTmZn, from Alexandria.

Unit cell a=3.562 b=3.562 c=8.691 alpha=90.00 beta=90.00 gamma=90.00
Space group P4mm (No. 99)
One atom of each set of equivalent atoms:
Sm 0.000 0.000 0.000 (multiplicity 1)
Y 0.500 0.500 0.698 (multiplicity 1)
Tm 0.500 0.500 0.293 (multiplicity 1)
Zn 0.000 0.000 0.489 (multiplicity 1)

Properties
As for the energy above the most stable polymorph in this dataset: 0.000 eV/atom. Its spin magnetization is 0.000 μB per atom. The formation energy is -3.87 kcal/mol of atoms.


No. 25
The following is a PBE calculation of a relaxed structure of SrAlOs2, from Alexandria.

Unit cell a=9.187 b=2.932 c=6.048 alpha=90.00 beta=102.42 gamma=90.00
Space group C2/m (No. 12)
One atom of each set of equivalent atoms:
Sr 0.000 0.000 0.000 (multiplicity 2)
Al 0.000 0.500 0.500 (multiplicity 2)
Os 0.224 0.000 0.659 (multiplicity 4)

Properties
Its spin magnetization is 0.000 μB per atom. The formation energy is 9.29 kcal/mol of atoms.